Entry 1:
A relaxed Nd8SiSe4S3 crystal, computed with GGA-PBE.

The value obtained for the raw formation energy is -1.812 eV per atom. The final energy comes out at -6.180 eV/atom. As for the volume: 25.905 A^3/atom. The theoretical density comes out at 6.386 Mg/m³.

a b c (Å): 14.3851 8.3062 8.4333
angles (deg): 90.00 124.65 90.00
Space group C2/m (No. 12)
Asymmetric unit:
Nd: 0.0058 0.2493 0.2685 [8 per cell]
Nd: 0.2423 0.5000 0.7282 [4 per cell]
Nd: 0.2431 0.0000 0.7300 [4 per cell]
Si: 0.0000 0.0000 0.5000 [2 per cell]
Se: 0.0000 0.0000 0.0000 [2 per cell]
Se: 0.0000 0.5000 0.0000 [2 per cell]
Se: 0.2500 0.2500 0.0000 [4 per cell]
S: 0.0000 0.5000 0.5000 [2 per cell]
S: 0.2500 0.2500 0.5000 [4 per cell]


Entry 2:
A relaxed Nd6Si2SeS3 crystal, computed with GGA-PBE.

The value obtained for the raw formation energy is -1.581 eV per atom. The final energy comes out at -6.191 eV/atom. As for the volume: 25.858 A^3/atom. The theoretical density comes out at 5.869 Mg/m³.

a b c (Å): 18.1871 4.1815 8.3688
angles (deg): 90.00 102.82 90.00
Space group C2/m (No. 12)
Asymmetric unit:
Nd: 0.0028 0.0000 0.2611 [4 per cell]
Nd: 0.1669 0.5000 0.5839 [4 per cell]
Nd: 0.1697 0.5000 0.0901 [4 per cell]
Si: 0.1662 0.0000 0.3330 [4 per cell]
Se: 0.0000 0.5000 0.0000 [2 per cell]
S: 0.0000 0.5000 0.5000 [2 per cell]
S: 0.1650 0.0000 0.8359 [4 per cell]


Entry 3:
A relaxed Nd8SiSe3S4 crystal, computed with GGA-PBE.

The value obtained for the raw formation energy is -1.819 eV per atom. The final energy comes out at -6.227 eV/atom. As for the volume: 25.509 A^3/atom. The theoretical density comes out at 6.295 Mg/m³.

a b c (Å): 8.3340 8.3340 20.3569
angles (deg): 90.00 90.00 120.00
Space group R-3m (No. 166, hexagonal axes)
Asymmetric unit:
Nd: 0.0000 0.0000 0.2429 [6 per cell]
Nd: 0.0108 0.5054 0.7530 [18 per cell]
Si: 0.0000 0.0000 0.0000 [3 per cell]
Se: 0.0000 0.5000 0.0000 [9 per cell]
S: 0.0000 0.0000 0.5000 [3 per cell]
S: 0.0000 0.5000 0.5000 [9 per cell]